# PmPr4Cd5 | Alexandria | PBE | relaxed
# **Total moment**: 0.199 μB/atom
# **E_form**: -318 meV per atom
# **DOS at the Fermi energy**: 12.4 states/eV/f.u.
data_PmPr4Cd5
_chemical_formula_sum 'Pm1 Pr4 Cd5'
_cell_length_a 3.8731
_cell_length_b 3.8731
_cell_length_c 19.3703
_cell_angle_alpha 90.00
_cell_angle_beta 90.00
_cell_angle_gamma 90.00
_symmetry_space_group_name_H-M 'P 4/m m m'
_symmetry_Int_Tables_number 123
_symmetry_space_group_name_Hall '-P 4 2'
loop_
_atom_site_label
_atom_site_type_symbol
_atom_site_fract_x
_atom_site_fract_y
_atom_site_fract_z
Pm1 Pm 0.0000 0.0000 0.0000
Pr1 Pr 0.0000 0.0000 0.1981
Pr2 Pr 0.0000 0.0000 0.3993
Cd1 Cd 0.5000 0.5000 0.0965
Cd2 Cd 0.5000 0.5000 0.2990
Cd3 Cd 0.5000 0.5000 0.5000

***

# Pm8Pr2Cd | Alexandria | PBE | relaxed
# **Total moment**: 0.000 μB/atom
# **Energy relative to the lowest polymorph listed for this composition**: 0.4 kJ per mole of atoms
# **E_form**: -15 meV per atom
# **DOS at the Fermi energy**: 15.2 states/eV/f.u.
data_Pm8Pr2Cd
_chemical_formula_sum 'Pm16 Pr4 Cd2'
_cell_length_a 18.4157
_cell_length_b 5.1223
_cell_length_c 8.0837
_cell_angle_alpha 90.00
_cell_angle_beta 105.41
_cell_angle_gamma 90.00
_symmetry_space_group_name_H-M 'C 1 2/m 1'
_symmetry_Int_Tables_number 12
_symmetry_space_group_name_Hall '-C 2y'
loop_
_atom_site_label
_atom_site_type_symbol
_atom_site_fract_x
_atom_site_fract_y
_atom_site_fract_z
Pm1 Pm 0.0446 0.0000 0.2241
Pm2 Pm 0.0884 0.5000 0.9434
Pm3 Pm 0.1348 0.0000 0.6764
Pm4 Pm 0.1792 0.5000 0.4090
Pr1 Pr 0.2243 0.0000 0.1363
Cd1 Cd 0.0000 0.5000 0.5000

***

# Pm3Pr5Cd | Alexandria | PBE | relaxed
# **Total moment**: 0.000 μB/atom
# **E_form**: 292 meV per atom
# **DOS at the Fermi energy**: 13.0 states/eV/f.u.
data_Pm3Pr5Cd
_chemical_formula_sum 'Pm12 Pr20 Cd4'
_cell_length_a 11.3982
_cell_length_b 8.4287
_cell_length_c 13.6899
_cell_angle_alpha 90.00
_cell_angle_beta 90.34
_cell_angle_gamma 90.00
_symmetry_space_group_name_H-M 'C 1 2/m 1'
_symmetry_Int_Tables_number 12
_symmetry_space_group_name_Hall '-C 2y'
loop_
_atom_site_label
_atom_site_type_symbol
_atom_site_fract_x
_atom_site_fract_y
_atom_site_fract_z
Pm1 Pm 0.0000 0.0000 0.0000
Pm2 Pm 0.0000 0.0000 0.5000
Pm3 Pm 0.1345 0.5000 0.0111
Pm4 Pm 0.2396 0.0000 0.3799
Pr1 Pr 0.0000 0.3263 0.5000
Pr2 Pr 0.0024 0.5000 0.7557
Pr3 Pr 0.2372 0.0000 0.6309
Pr4 Pr 0.2425 0.2218 0.1627
Cd1 Cd 0.0014 0.0000 0.2415

***

# Pm2PrCd6 | Alexandria | PBE | relaxed
# **Total moment**: 0.000 μB/atom
# **Energy relative to the lowest polymorph listed for this composition**: 6.8 kJ per mole of atoms
# **E_form**: -274 meV per atom
# **DOS at the Fermi energy**: 5.4 states/eV/f.u.
data_Pm2PrCd6
_chemical_formula_sum 'Pm4 Pr2 Cd12'
_cell_length_a 3.4464
_cell_length_b 8.8390
_cell_length_c 15.5252
_cell_angle_alpha 90.00
_cell_angle_beta 90.00
_cell_angle_gamma 90.00
_symmetry_space_group_name_H-M 'I m m m'
_symmetry_Int_Tables_number 71
_symmetry_space_group_name_Hall '-I 2 2'
loop_
_atom_site_label
_atom_site_type_symbol
_atom_site_fract_x
_atom_site_fract_y
_atom_site_fract_z
Pm1 Pm 0.0000 0.0000 0.1510
Pr1 Pr 0.0000 0.5000 0.0000
Cd1 Cd 0.0000 0.1721 0.3315
Cd2 Cd 0.0000 0.3291 0.5000

***

# Pm2PrCd2 | Alexandria | PBE | relaxed
# **Total moment**: 0.003 μB/atom
# **E_form**: -254 meV per atom
# **DOS at the Fermi energy**: 6.4 states/eV/f.u.
data_Pm2PrCd2
_chemical_formula_sum 'Pm4 Pr2 Cd4'
_cell_length_a 3.8394
_cell_length_b 5.5323
_cell_length_c 14.2019
_cell_angle_alpha 90.00
_cell_angle_beta 97.73
_cell_angle_gamma 90.00
_symmetry_space_group_name_H-M 'P 1 21/m 1'
_symmetry_Int_Tables_number 11
_symmetry_space_group_name_Hall '-P 2yb'
loop_
_atom_site_label
_atom_site_type_symbol
_atom_site_fract_x
_atom_site_fract_y
_atom_site_fract_z
Pm1 Pm 0.0460 0.2500 0.0924
Pm2 Pm 0.2372 0.2500 0.4726
Pr1 Pr 0.1461 0.7500 0.2945
Cd1 Cd 0.3585 0.7500 0.7171
Cd2 Cd 0.4511 0.2500 0.9011

***

# Pm2Pr5Cd | Alexandria | PBE | relaxed
# **Total moment**: 0.000 μB/atom
# **E_form**: -44 meV per atom
# **DOS at the Fermi energy**: 9.9 states/eV/f.u.
data_Pm2Pr5Cd
_chemical_formula_sum 'Pm8 Pr20 Cd4'
_cell_length_a 7.2929
_cell_length_b 11.6366
_cell_length_c 12.6959
_cell_angle_alpha 90.00
_cell_angle_beta 90.00
_cell_angle_gamma 90.00
_symmetry_space_group_name_H-M 'F m m 2'
_symmetry_Int_Tables_number 42
_symmetry_space_group_name_Hall 'F 2 -2'
loop_
_atom_site_label
_atom_site_type_symbol
_atom_site_fract_x
_atom_site_fract_y
_atom_site_fract_z
Pm1 Pm 0.0000 0.2342 0.0000
Pr1 Pr 0.0000 0.0000 0.6536
Pr2 Pr 0.2336 0.0000 0.4120
Pr3 Pr 0.2500 0.2500 0.2459
Cd1 Cd 0.0000 0.0000 0.1646

***

# Pm3Pr2Cd | Alexandria | PBE | relaxed
# **Total moment**: 0.000 μB/atom
# **Energy relative to the lowest polymorph listed for this composition**: 0.0 kJ per mole of atoms
# **E_form**: -48 meV per atom
# **DOS at the Fermi energy**: 7.8 states/eV/f.u.
data_Pm3Pr2Cd
_chemical_formula_sum 'Pm12 Pr8 Cd4'
_cell_length_a 10.7568
_cell_length_b 6.2344
_cell_length_c 11.5562
_cell_angle_alpha 90.00
_cell_angle_beta 90.00
_cell_angle_gamma 90.00
_symmetry_space_group_name_H-M 'C m c m'
_symmetry_Int_Tables_number 63
_symmetry_space_group_name_Hall '-C 2c 2'
loop_
_atom_site_label
_atom_site_type_symbol
_atom_site_fract_x
_atom_site_fract_y
_atom_site_fract_z
Pm1 Pm 0.0000 0.0000 0.0000
Pm2 Pm 0.1584 0.5000 0.0000
Pr1 Pr 0.1685 0.1684 0.2500
Cd1 Cd 0.0000 0.3299 0.7500

***

# Pm3Pr2Cd | Alexandria | PBE | relaxed
# **Total moment**: 0.000 μB/atom
# **Energy relative to the lowest polymorph listed for this composition**: 4.5 kJ per mole of atoms
# **E_form**: -1 meV per atom
# **DOS at the Fermi energy**: 11.3 states/eV/f.u.
data_Pm3Pr2Cd
_chemical_formula_sum 'Pm3 Pr2 Cd1'
_cell_length_a 4.1844
_cell_length_b 4.1844
_cell_length_c 11.1627
_cell_angle_alpha 90.00
_cell_angle_beta 90.00
_cell_angle_gamma 90.00
_symmetry_space_group_name_H-M 'P 4/m m m'
_symmetry_Int_Tables_number 123
_symmetry_space_group_name_Hall '-P 4 2'
loop_
_atom_site_label
_atom_site_type_symbol
_atom_site_fract_x
_atom_site_fract_y
_atom_site_fract_z
Pm1 Pm 0.0000 0.0000 0.0000
Pm2 Pm 0.0000 0.0000 0.3484
Pr1 Pr 0.5000 0.5000 0.1632
Cd1 Cd 0.5000 0.5000 0.5000